The following is a GGA-PBE calculation of NaHPd3 after structural relaxation, from the Alexandria database.

The structure in extended XYZ format:
```
10
Lattice="-5.447 -0.964 -1.273 -0.452 -3.366 4.463 1.357 2.111 5.245" Properties=species:S:1:pos:R:3 pbc="T T T"
Pd -3.691 -0.442 0.104
Pd -0.516 -0.589 5.592
Pd -3.240 -1.069 4.960
Pd -0.290 1.093 3.363
Pd -3.923 -2.126 2.334
Pd -3.014 0.615 2.727
H -4.390 -0.660 3.389
H -2.029 -1.468 6.540
Na -0.968 0.040 0.741
Na -1.200 -1.644 2.971
```

Density in g/cm³: 8.46
Excess energy over the best structure of this formula in the dataset in eV/atom: 0.002
VASP energy in eV per atom: -4.19
Fermi-level density of states in states/eV/f.u.: 2.718